# 1
Ta3TiH (GGA-PBEsol, optimized geometry); calculated density = 13.50 Mg/m³; uncorrected energy = -9.756 eV/atom; SG = No. 221
1.0
4.176 0.000 0.000
0.000 4.176 0.000
0.000 0.000 4.176
Ta Ti H
3 1 1
direct
0.500 0.000 0.000
0.000 0.000 0.500
0.000 0.500 0.000
0.500 0.500 0.500
0.000 0.000 0.000

***

# 2
TaTi3H (GGA-PBEsol, optimized geometry); calculated density = 4.95 Mg/m³; uncorrected energy = -6.436 eV/atom; SG = No. 221
1.0
-0.688 -3.527 3.151
0.663 -3.224 -3.465
4.682 -0.062 0.953
H Ti Ta
1 3 1
direct
0.500 0.500 0.500
0.000 0.500 0.000
0.000 0.000 0.500
0.500 0.000 0.000
0.000 0.000 0.000

***

# 3
YTa2H (GGA-PBEsol, optimized geometry); calculated density = 11.04 Mg/m³; uncorrected energy = -7.302 eV/atom; SG = No. 225
1.0
-1.778 -2.174 -3.618
-0.512 -4.551 0.087
-4.191 -1.828 0.259
H Y Ta
1 1 2
direct
0.000 0.000 0.000
0.500 0.500 0.500
0.250 0.250 0.250
0.750 0.750 0.750

***

# 4
TaZnH2 (GGA-PBEsol, optimized geometry); calculated density = 11.48 Mg/m³; uncorrected energy = -4.707 eV/atom; SG = No. 225
1.0
-3.224 -0.776 1.650
-0.114 -0.590 3.655
-1.587 2.495 2.230
Zn H Ta
1 2 1
direct
0.000 0.000 0.000
0.750 0.750 0.750
0.250 0.250 0.250
0.500 0.500 0.500

***

# 5
TaZn3H (GGA-PBEsol, optimized geometry); calculated density = 10.36 Mg/m³; uncorrected energy = -3.851 eV/atom; SG = No. 221
1.0
3.929 0.000 0.000
0.000 3.929 0.000
0.000 0.000 3.929
Zn H Ta
3 1 1
direct
0.500 0.000 0.000
0.000 0.000 0.500
0.000 0.500 0.000
0.000 0.000 0.000
0.500 0.500 0.500

***

# 6
ZrTaH2 (GGA-PBEsol, optimized geometry); calculated density = 10.35 Mg/m³; uncorrected energy = -7.373 eV/atom; SG = No. 122
1.0
-2.088 -3.475 2.898
4.960 0.613 0.024
-2.941 3.467 2.039
Zr Ta H
2 2 4
direct
0.750 0.500 0.250
0.500 0.000 0.500
0.250 0.500 0.750
0.000 0.000 0.000
0.625 0.750 0.105
0.355 0.250 0.375
0.895 0.250 0.875
0.125 0.750 0.645

***

Number 3 is which compound?
YTa2H

***

What is the uncorrected energy in the fourth record?
-4.707 eV/atom

***

Look up the uncorrected energy of the fourth one.
-4.707 eV/atom